Crystalline Sc2CdHg at its relaxed geometry. Source: Alexandria via LeMat-Bulk, functional GGA-PBEsol.

Lattice parameters (Å, degrees): 3.4761 3.4761 6.9117 90.00 90.00 90.00
Last column: nearest neighbours and their distance in Å.
Space group P4/mmm (No. 123)
One atom of each set of equivalent atoms:
Sc 0.0000 0.0000 0.2482 x2  4 Hg 3.00, 4 Cd 3.01
Cd 0.5000 0.5000 0.5000 x1  8 Sc 3.01
Hg 0.5000 0.5000 0.0000 x1  8 Sc 3.00

Properties
Polymorph energy (0 for the lowest one) in eV/atom: 0.000
Size of the total moment in Bohr magnetons per cell: 0.0
Energy of formation from the pure elements in eV per atom: -0.439
Volume in A^3/atom: 20.9

***

Crystalline ScCdHg at its relaxed geometry. Source: Alexandria via LeMat-Bulk, functional GGA-PBEsol.

Lattice parameters (Å, degrees): 3.2274 3.2274 11.8848 90.00 90.00 90.00
Last column: nearest neighbours and their distance in Å.
Space group I4mm (No. 107)
One atom of each set of equivalent atoms:
Sc 0.0000 0.0000 0.0000 x2  4 Hg 2.97, 4 Cd 3.07, 4 Sc 3.23
Cd 0.0000 0.0000 0.6722 x2  4 Hg 3.03, 4 Sc 3.07, 4 Cd 3.23
Hg 0.0000 0.0000 0.3402 x2  4 Sc 2.97, 4 Cd 3.03, 4 Hg 3.23

Properties
Size of the total moment in Bohr magnetons per cell: 0.6
Energy of formation from the pure elements in eV per atom: -0.326
Volume in A^3/atom: 20.6

***

Crystalline ScCdHg at its relaxed geometry. Source: Alexandria via LeMat-Bulk, functional GGA-PBEsol.

Lattice parameters (Å, degrees): 4.7599 4.7599 3.1647 90.00 90.00 120.00
Last column: nearest neighbours and their distance in Å.
Space group P-6m2 (No. 187)
One atom of each set of equivalent atoms:
Sc 0.0000 0.0000 0.0000 x1  2 Sc 3.16, 6 Cd 3.17, 6 Hg 3.17
Cd 0.3333 0.6667 0.5000 x1  3 Hg 2.75
Hg 0.6667 0.3333 0.5000 x1  3 Cd 2.75

Properties
Size of the total moment in Bohr magnetons per cell: 0.0
Energy of formation from the pure elements in eV per atom: -0.356
Volume in A^3/atom: 20.7

***

Crystalline Sc2CdHg2 at its relaxed geometry. Source: Alexandria via LeMat-Bulk, functional GGA-PBEsol.

Lattice parameters (Å, degrees): 7.6246 7.6246 3.6595 90.00 90.00 90.00
Last column: nearest neighbours and their distance in Å.
Space group P4/mbm (No. 127)
One atom of each set of equivalent atoms:
Sc 0.1660 0.3340 0.0000 x4  6 Hg 2.83-2.94
Cd 0.0000 0.0000 0.5000 x2  4 Hg 2.97
Hg 0.1340 0.6340 0.5000 x4  6 Sc 2.83-2.94, 1 Hg 2.89, 2 Cd 2.97

Properties
Size of the total moment in Bohr magnetons per cell: 0.0
Energy of formation from the pure elements in eV per atom: -0.424
Volume in A^3/atom: 21.3

***

Crystalline Sc2CdHg at its relaxed geometry. Source: Alexandria via LeMat-Bulk, functional GGA-PBEsol.

Lattice parameters (Å, degrees): 3.2736 3.2736 28.8901 90.00 90.00 120.00
Last column: nearest neighbours and their distance in Å.
Space group R3m (No. 160, hexagonal axes)
One atom of each set of equivalent atoms:
Sc 0.0000 0.0000 0.0000 x3  3 Hg 2.97, 9 Sc 3.18-3.27
Sc 0.0000 0.0000 0.2448 x3  3 Cd 3.07, 9 Sc 3.18-3.27
Cd 0.0000 0.0000 0.4946 x3  3 Hg 3.03, 3 Sc 3.07, 6 Cd 3.27
Hg 0.0000 0.0000 0.7460 x3  3 Sc 2.97, 3 Cd 3.03, 6 Hg 3.27

Properties
Polymorph energy (0 for the lowest one) in eV/atom: 0.302
Size of the total moment in Bohr magnetons per cell: 3.4
Energy of formation from the pure elements in eV per atom: -0.137
Volume in A^3/atom: 22.3

***

Crystalline Sc2CdHg at its relaxed geometry. Source: Alexandria via LeMat-Bulk, functional GGA-PBEsol.

Lattice parameters (Å, degrees): 6.9363 6.9363 6.9363 90.00 90.00 90.00
Last column: nearest neighbours and their distance in Å.
Space group Fm-3m (No. 225)
One atom of each set of equivalent atoms:
Sc 0.2500 0.2500 0.2500 x8  4 Hg 3.00, 4 Cd 3.00
Cd 0.0000 0.0000 0.0000 x4  8 Sc 3.00
Hg 0.0000 0.0000 0.5000 x4  8 Sc 3.00

Properties
Polymorph energy (0 for the lowest one) in eV/atom: 0.003
Size of the total moment in Bohr magnetons per cell: 0.0
Energy of formation from the pure elements in eV per atom: -0.436
Volume in A^3/atom: 20.9

***

Crystalline ScCdHg2 at its relaxed geometry. Source: Alexandria via LeMat-Bulk, functional GGA-PBEsol.

Lattice parameters (Å, degrees): 3.3283 3.3283 7.4427 90.00 90.00 90.00
Last column: nearest neighbours and their distance in Å.
Space group P4/mmm (No. 123)
One atom of each set of equivalent atoms:
Sc 0.0000 0.0000 0.0000 x1  8 Hg 2.98, 4 Sc 3.33
Cd 0.0000 0.0000 0.5000 x1  8 Hg 3.02, 4 Cd 3.33
Hg 0.5000 0.5000 0.2450 x2  4 Sc 2.98, 4 Cd 3.02, 4 Hg 3.33

Properties
Size of the total moment in Bohr magnetons per cell: 0.3
Energy of formation from the pure elements in eV per atom: -0.310
Volume in A^3/atom: 20.6

***

Crystalline ScCdHg2 at its relaxed geometry. Source: Alexandria via LeMat-Bulk, functional GGA-PBEsol.

Lattice parameters (Å, degrees): 3.1914 4.5904 5.9518 90.00 105.68 90.00
Last column: nearest neighbours and their distance in Å.
Space group Pm (No. 6)
One atom of each set of equivalent atoms:
Sc 0.0000 0.0000 0.0000 x1  7 Hg 2.95-3.21, 2 Sc 3.19
Cd 0.6616 0.5000 0.3228 x1  5 Hg 2.87-3.01, 2 Cd 3.19
Hg 0.2568 0.0000 0.5148 x1  4 Hg 2.89-3.19, 3 Sc 2.95-3.21, 4 Cd 3.00-3.01
Hg 0.4102 0.5000 0.8224 x1  1 Cd 2.87, 4 Hg 2.89-3.19, 4 Sc 2.97-2.98

Properties
Size of the total moment in Bohr magnetons per cell: 0.0
Energy of formation from the pure elements in eV per atom: -0.264
Volume in A^3/atom: 21.0

***

Crystalline ScCdHg at its relaxed geometry. Source: Alexandria via LeMat-Bulk, functional GGA-PBEsol.

Lattice parameters (Å, degrees): 6.5389 6.5389 6.5389 90.00 90.00 90.00
Last column: nearest neighbours and their distance in Å.
Space group F-43m (No. 216)
One atom of each set of equivalent atoms:
Sc 0.0000 0.0000 0.0000 x4  4 Cd 2.83
Cd 0.2500 0.2500 0.2500 x4  4 Hg 2.83, 4 Sc 2.83
Hg 0.0000 0.0000 0.5000 x4  4 Cd 2.83

Properties
Size of the total moment in Bohr magnetons per cell: 0.0
Energy of formation from the pure elements in eV per atom: -0.082
Volume in A^3/atom: 23.3

***

Crystalline ScCdHg2 at its relaxed geometry. Source: Alexandria via LeMat-Bulk, functional GGA-PBEsol.

Lattice parameters (Å, degrees): 10.1612 3.3751 5.1449 90.00 106.52 90.00
Last column: nearest neighbours and their distance in Å.
Space group Cm (No. 8)
One atom of each set of equivalent atoms:
Sc 0.0000 0.0000 0.0000 x2  7 Hg 2.93-3.09, 3 Cd 3.13-3.26
Cd 0.2581 0.5000 0.3018 x2  7 Hg 2.98-3.10, 3 Sc 3.13-3.26
Hg 0.0100 0.5000 0.5018 x2  3 Cd 2.98-2.99, 2 Hg 3.06, 4 Sc 3.06-3.09
Hg 0.2564 0.0000 0.8068 x2  3 Sc 2.93-3.04, 4 Cd 3.05-3.10, 2 Hg 3.06

Properties
Size of the total moment in Bohr magnetons per cell: 0.0
Energy of formation from the pure elements in eV per atom: -0.245
Volume in A^3/atom: 21.1

***

Crystalline Sc2CdHg at its relaxed geometry. Source: Alexandria via LeMat-Bulk, functional GGA-PBEsol.

Lattice parameters (Å, degrees): 3.5031 4.8813 4.8820 90.00 90.00 90.00
Last column: nearest neighbours and their distance in Å.
Space group Pmm2 (No. 25)
One atom of each set of equivalent atoms:
Sc 0.0000 0.0000 0.0000 x1  4 Hg 3.00-3.01, 4 Cd 3.00
Sc 0.0000 0.5000 0.4974 x1  4 Cd 3.00-3.01, 4 Hg 3.00
Cd 0.5000 0.5000 0.9970 x1  8 Sc 3.00-3.01
Hg 0.5000 0.0000 0.5007 x1  8 Sc 3.00-3.01

Properties
Polymorph energy (0 for the lowest one) in eV/atom: 0.001
Size of the total moment in Bohr magnetons per cell: 0.0
Energy of formation from the pure elements in eV per atom: -0.438
Volume in A^3/atom: 20.9

***

Crystalline Sc2CdHg at its relaxed geometry. Source: Alexandria via LeMat-Bulk, functional GGA-PBEsol.

Lattice parameters (Å, degrees): 6.9129 6.9129 6.9129 90.00 90.00 90.00
Last column: nearest neighbours and their distance in Å.
Space group F-43m (No. 216)
One atom of each set of equivalent atoms:
Sc 0.0000 0.0000 0.0000 x4  4 Hg 2.99, 4 Sc 2.99
Sc 0.2500 0.2500 0.2500 x4  4 Cd 2.99, 4 Sc 2.99
Cd 0.0000 0.0000 0.5000 x4  4 Hg 2.99, 4 Sc 2.99
Hg 0.2500 0.2500 0.7500 x4  4 Cd 2.99, 4 Sc 2.99

Properties
Polymorph energy (0 for the lowest one) in eV/atom: 0.309
Size of the total moment in Bohr magnetons per cell: 7.4
Energy of formation from the pure elements in eV per atom: -0.130
Volume in A^3/atom: 20.6